TaCr2Os after structural relaxation. Source: Alexandria, functional PBEsol.

Lattice parameters (Å, degrees): 2.6973 2.6973 26.4871 90.00 90.00 120.00
Space group R-3m (No. 166, hexagonal axes)
Asymmetric unit:
Ta (0.0000, 0.0000, 0.0000) [3 per cell]
Cr (0.0000, 0.0000, 0.2445) [6 per cell]
Os (0.0000, 0.0000, 0.5000) [3 per cell]

## Properties
Energy above the lowest structure with this stoichiometry ... 343 meV/atom
Energy relative to the elements ... 0.3590 eV/atom
M_tot ... 0.00 μB per formula unit
E_tot ... -131.4 eV/cell
DOS at the Fermi energy ... 13.7 states/eV/cell